# NbMo2AuF, relaxed, DFT PBE with a Hubbard U
# Magnetization (μB/f.u.): 5.54
# Total DFT energy (no corrections) (eV/atom): -4.508
# D(E_F) (states/eV/cell): 4.90
data_NbMo2AuF
_chemical_formula_sum 'Nb1 Mo2 Au1 F1'
_cell_length_a 5.393
_cell_length_b 5.393
_cell_length_c 4.090
_cell_angle_alpha 90.00
_cell_angle_beta 90.00
_cell_angle_gamma 90.00
_symmetry_space_group_name_H-M 'P 4/m m m'
_symmetry_Int_Tables_number 123
_symmetry_space_group_name_Hall '-P 4 2'
loop_
_atom_site_label
_atom_site_fract_x
_atom_site_fract_y
_atom_site_fract_z
Nb1 0.000 0.000 0.000
Mo1 0.000 0.500 0.500
Au1 0.500 0.500 0.500
F1 0.500 0.500 0.000

# MoAuOF2, relaxed, DFT PBE with a Hubbard U
# Magnetization (μB/f.u.): 4.26
# Total DFT energy (no corrections) (eV/atom): -4.052
# D(E_F) (states/eV/cell): 2.42
# Distance to the lowest polymorph of the same formula (eV/f.u.): 4.72
data_MoAuOF2
_chemical_formula_sum 'Mo1 Au1 O1 F2'
_cell_length_a 4.394
_cell_length_b 4.394
_cell_length_c 4.220
_cell_angle_alpha 90.00
_cell_angle_beta 90.00
_cell_angle_gamma 90.00
_symmetry_space_group_name_H-M 'P 4/m m m'
_symmetry_Int_Tables_number 123
_symmetry_space_group_name_Hall '-P 4 2'
loop_
_atom_site_label
_atom_site_fract_x
_atom_site_fract_y
_atom_site_fract_z
Mo1 0.000 0.000 0.000
Au1 0.500 0.500 0.500
O1 0.500 0.500 0.000
F1 0.000 0.500 0.500

# MoAuOF2, relaxed, DFT PBE with a Hubbard U
# Magnetization (μB/f.u.): 2.76
# Total DFT energy (no corrections) (eV/atom): -4.997
# D(E_F) (states/eV/cell): 1.56
# Distance to the lowest polymorph of the same formula (eV/f.u.): 0.00
data_MoAuOF2
_chemical_formula_sum 'Mo1 Au1 O1 F2'
_cell_length_a 4.239
_cell_length_b 4.239
_cell_length_c 4.114
_cell_angle_alpha 90.00
_cell_angle_beta 90.00
_cell_angle_gamma 90.00
_symmetry_space_group_name_H-M 'P 4/m m m'
_symmetry_Int_Tables_number 123
_symmetry_space_group_name_Hall '-P 4 2'
loop_
_atom_site_label
_atom_site_fract_x
_atom_site_fract_y
_atom_site_fract_z
Mo1 0.000 0.000 0.000
Au1 0.500 0.500 0.500
O1 0.000 0.000 0.500
F1 0.000 0.500 0.000